[1]
The following is a PBE calculation of an optimized crystal structure of Sr4TlZn, from Alexandria.

a = 4.0472 Å, b = 4.0472 Å, c = 14.4740 Å
α = 90.00°, β = 90.00°, γ = 90.00°
Element x y z (fractional)
Sr 0.0000 0.0000 0.1298
Sr 0.0000 0.0000 0.8702
Sr 0.5000 0.5000 0.3608
Sr 0.5000 0.5000 0.6392
Tl 0.0000 0.0000 0.5000
Zn 0.5000 0.5000 0.0000

Calculated values
* space-group type: No. 123
* ΔH_f (0 K): -0.2176 eV/atom
* calculated density: 4.344 Mg/m³

[2]
The following is a PBE calculation of an optimized crystal structure of Sr2Tl2Zn, from Alexandria.

a = 9.1535 Å, b = 9.1535 Å, c = 4.2903 Å
α = 90.00°, β = 90.00°, γ = 90.00°
Element x y z (fractional)
Sr 0.1705 0.3295 0.0000
Sr 0.3295 0.8295 0.0000
Sr 0.6705 0.1705 0.0000
Sr 0.8295 0.6705 0.0000
Tl 0.1271 0.6271 0.5000
Tl 0.3729 0.1271 0.5000
Tl 0.6271 0.8729 0.5000
Tl 0.8729 0.3729 0.5000
Zn 0.0000 0.0000 0.0000
Zn 0.5000 0.5000 0.0000

Calculated values
* space-group type: No. 127
* ΔH_f (0 K): -0.0962 eV/atom
* calculated density: 6.000 Mg/m³

[3]
The following is a PBE calculation of an optimized crystal structure of SrTlZn2, from Alexandria.

a = 4.4205 Å, b = 5.5364 Å, c = 8.5210 Å
α = 90.00°, β = 90.00°, γ = 90.00°
Element x y z (fractional)
Sr 0.0000 0.0000 0.0000
Sr 0.5000 0.5000 0.5000
Tl 0.0000 0.5000 0.2050
Tl 0.5000 0.0000 0.7050
Zn 0.0000 0.0000 0.4456
Zn 0.0000 0.5000 0.7834
Zn 0.5000 0.0000 0.2834
Zn 0.5000 0.5000 0.9456

Calculated values
* space-group type: No. 44
* ΔH_f (0 K): -0.1010 eV/atom
* calculated density: 6.733 Mg/m³

[4]
The following is a PBE calculation of an optimized crystal structure of Sr2Tl3Zn, from Alexandria.

a = 10.2784 Å, b = 9.7829 Å, c = 6.5021 Å
α = 75.28°, β = 67.00°, γ = 37.72°
Element x y z (fractional)
Sr 0.2475 0.7525 0.7525
Sr 0.2500 0.2500 0.2500
Sr 0.7500 0.7500 0.7500
Sr 0.7525 0.2475 0.2475
Tl 0.1733 0.6528 0.3472
Tl 0.1746 0.1746 0.8254
Tl 0.3472 0.8267 0.1733
Tl 0.6528 0.1733 0.8267
Tl 0.8254 0.8254 0.1746
Tl 0.8267 0.3472 0.6528
Zn 0.3329 0.3329 0.6671
Zn 0.6671 0.6671 0.3329

Calculated values
* space-group type: No. 69
* ΔH_f (0 K): -0.2988 eV/atom
* calculated density: 7.737 Mg/m³

In the order shown, the computed spin magnetization values come out to 0.000, 0.000, 0.000, 0.000 μB per atom.
In the order shown, the computed Fermi-level density of states values come out to 5.90, 8.94, 3.13, 4.51 states/eV/cell.
In the order shown, the computed final energy values come out to -11.7, -9.9, -7.0, -13.5 eV per formula unit.